ZrReSe2, relaxed, DFT PBE; ΔE to the lowest computed polymorph = 598 meV/atom; SG = No. 47; ρ = 9.74 g/cm³; E_form (uncorrected) = 17.1 kJ per mole of atoms
1.0
3.4061 0.0000 0.0000
0.0000 4.0660 0.0000
0.0000 0.0000 5.3602
Zr Re Se
1 1 2
direct
0.0000 0.0000 0.0000 Zr
0.5000 0.0000 0.5000 Re
0.0000 0.5000 0.5000 Se
0.5000 0.5000 0.0000 Se



KAg2As, relaxed, DFT PBE; DFT formation energy = 174 meV per atom; SG = No. 47; ρ = 5.74 g/cm³
1.0
2.9481 0.0000 0.0000
0.0000 4.3726 0.0000
0.0000 0.0000 7.3954
K Ag As
1 2 1
direct
0.0000 0.0000 0.0000 K
0.5000 0.5000 0.3078 Ag
0.5000 0.5000 0.6922 Ag
0.0000 0.0000 0.5000 As



BiSbTe2As, relaxed, DFT PBE; ΔE to the lowest computed polymorph = 0 meV/atom; SG = No. 123; ρ = 6.90 g/cm³; E_form (uncorrected) = 44.3 kJ per mole of atoms
1.0
5.4747 0.0000 0.0000
0.0000 5.4747 0.0000
0.0000 0.0000 5.3025
Bi Sb Te As
1 1 2 1
direct
0.0000 0.0000 0.0000 Bi
0.5000 0.5000 0.0000 Sb
0.0000 0.5000 0.5000 Te
0.5000 0.0000 0.5000 Te
0.5000 0.5000 0.5000 As



SrTiTe2N, relaxed, DFT PBE; ΔE to the lowest computed polymorph = 1643 meV/atom; SG = No. 123; ρ = 3.85 g/cm³; E_form (uncorrected) = 88.2 kJ per mole of atoms
1.0
6.1099 0.0000 0.0000
0.0000 6.1099 0.0000
0.0000 0.0000 4.6781
Sr Ti Te N
1 1 2 1
direct
0.0000 0.0000 0.0000 Sr
0.5000 0.5000 0.5000 Ti
0.0000 0.5000 0.0000 Te
0.5000 0.0000 0.0000 Te
0.0000 0.0000 0.5000 N



Tl2SnHgH, relaxed, DFT PBE; ΔE to the lowest computed polymorph = 45 meV/atom; SG = No. 123; ρ = 8.76 g/cm³
1.0
5.9813 0.0000 0.0000
0.0000 5.9813 0.0000
0.0000 0.0000 3.8620
Tl Sn Hg H
2 1 1 1
direct
0.0000 0.5000 0.0000 Tl
0.5000 0.0000 0.0000 Tl
0.0000 0.0000 0.0000 Sn
0.5000 0.5000 0.5000 Hg
0.0000 0.0000 0.5000 H



La2SmY2, relaxed, DFT PBE; DFT formation energy = 231 meV per atom; ΔE to the lowest computed polymorph = 10 meV/atom; SG = No. 15; ρ = 5.62 g/cm³
1.0
4.4513 -4.8464 0.0000
4.4513 4.8464 0.0000
-3.5985 0.0000 8.2957
La Sm Y
4 2 4
direct
0.0711 0.2511 0.1390 La
0.2511 0.0711 0.6390 La
0.7489 0.9289 0.3610 La
0.9289 0.7489 0.8610 La
0.2018 0.7982 0.2500 Sm
0.7982 0.2018 0.7500 Sm
0.0000 0.5000 0.5000 Y
0.5000 0.0000 0.0000 Y
0.5000 0.5000 0.0000 Y
0.5000 0.5000 0.5000 Y



Cr3HgOs, relaxed, DFT PBE; DFT formation energy = 1196 meV per atom; ΔE to the lowest computed polymorph = 0 meV/atom; SG = No. 221; ρ = 8.59 g/cm³
1.0
4.7276 0.0000 0.0000
0.0000 4.7276 0.0000
0.0000 0.0000 4.7276
Cr Hg Os
3 1 1
direct
0.0000 0.0000 0.5000 Cr
0.0000 0.5000 0.0000 Cr
0.5000 0.0000 0.0000 Cr
0.5000 0.5000 0.5000 Hg
0.0000 0.0000 0.0000 Os



Sr2HfPt2, relaxed, DFT PBE; DFT formation energy = -629 meV per atom; ΔE to the lowest computed polymorph = 0 meV/atom; SG = No. 127; ρ = 9.69 g/cm³
1.0
7.1630 0.0000 0.0000
0.0000 7.1630 0.0000
0.0000 0.0000 4.9704
Sr Hf Pt
4 2 4
direct
0.1721 0.3279 0.0000 Sr
0.3279 0.8279 0.0000 Sr
0.6721 0.1721 0.0000 Sr
0.8279 0.6721 0.0000 Sr
0.0000 0.0000 0.5000 Hf
0.5000 0.5000 0.5000 Hf
0.1386 0.6386 0.5000 Pt
0.3614 0.1386 0.5000 Pt
0.6386 0.8614 0.5000 Pt
0.8614 0.3614 0.5000 Pt



Which value of ρ does entry 8 give?
9.69 g/cm³



What is the ρ in the fifth record?
8.76 g/cm³



Look up the ρ of the third one.
6.90 g/cm³



Which value of ρ does entry 7 give?
8.59 g/cm³